Entry 1:
DFT (GGA-PBE) results for a relaxed Zn5Ga12Hg3 crystal.

Output
**Final energy**: -1.99 eV per atom
**E_form**: 3.8 eV per formula unit
**Total magnetic moment**: 0.0000 μB/atom

Structure (CIF):
```
data_Zn5Ga12Hg3
_cell_length_a 15.372
_cell_length_b 15.372
_cell_length_c 15.372
_cell_angle_alpha 90.00
_cell_angle_beta 90.00
_cell_angle_gamma 90.00
_space_group_name_H-M_alt 'I a -3 d'
_space_group_IT_number 230
_space_group_name_Hall '-I 4bd 2c 3'
loop_
_atom_site_label
_atom_site_fract_x
_atom_site_fract_y
_atom_site_fract_z
Zn1 0.000 0.000 0.000
Zn2 0.000 0.250 0.375
Ga1 0.019 0.074 0.648
Hg1 0.000 0.250 0.125
```


Entry 2:
DFT (GGA-PBE) results for a relaxed Zn2GaHg crystal.

Output
**Final energy**: -1.34 eV per atom
**E_form**: 0.5 eV per formula unit
**Total magnetic moment**: 0.0000 μB/atom

Structure (CIF):
```
data_Zn2GaHg
_cell_length_a 4.223
_cell_length_b 4.223
_cell_length_c 4.117
_cell_angle_alpha 90.00
_cell_angle_beta 90.00
_cell_angle_gamma 90.00
_space_group_name_H-M_alt 'P 4/m m m'
_space_group_IT_number 123
_space_group_name_Hall '-P 4 2'
loop_
_atom_site_label
_atom_site_fract_x
_atom_site_fract_y
_atom_site_fract_z
Zn1 0.000 0.500 0.000
Ga1 0.000 0.000 0.500
Hg1 0.500 0.500 0.500
```


Entry 3:
DFT (GGA-PBE) results for a relaxed Zn2Ga6Hg crystal.

Output
**Final energy**: -2.27 eV per atom
**E_form**: 0.6 eV per formula unit
**Total magnetic moment**: 0.0000 μB/atom

Structure (CIF):
```
data_Zn2Ga6Hg
_cell_length_a 8.561
_cell_length_b 6.608
_cell_length_c 6.296
_cell_angle_alpha 90.00
_cell_angle_beta 98.98
_cell_angle_gamma 90.00
_space_group_name_H-M_alt 'C 1 2/m 1'
_space_group_IT_number 12
loop_
_space_group_symop_operation_xyz
'x,y,z'
'-x,-y,-z'
'-x,y,-z'
'x,-y,z'
'x+1/2,y+1/2,z'
'-x+1/2,-y+1/2,-z'
'-x+1/2,y+1/2,-z'
'x+1/2,-y+1/2,z'
loop_
_atom_site_label
_atom_site_fract_x
_atom_site_fract_y
_atom_site_fract_z
Zn1 0.082 0.000 0.330
Ga1 0.000 0.293 0.000
Ga2 0.212 0.205 0.732
Hg1 0.000 0.500 0.500
```


Entry 4:
DFT (GGA-PBE) results for a relaxed ZnGa3Hg crystal.

Output
**Final energy**: -1.89 eV per atom
**E_form**: 1.2 eV per formula unit
**Total magnetic moment**: 0.0000 μB/atom

Structure (CIF):
```
data_ZnGa3Hg
_cell_length_a 4.912
_cell_length_b 4.912
_cell_length_c 4.912
_cell_angle_alpha 90.00
_cell_angle_beta 90.00
_cell_angle_gamma 90.00
_space_group_name_H-M_alt 'P m -3 m'
_space_group_IT_number 221
_space_group_name_Hall '-P 4 2 3'
loop_
_atom_site_label
_atom_site_fract_x
_atom_site_fract_y
_atom_site_fract_z
Zn1 0.000 0.000 0.000
Ga1 0.000 0.000 0.500
Hg1 0.500 0.500 0.500
```